The following is a PBE-GGA calculation of a relaxed structure of InCoIr, from the Alexandria database.

Computed properties:
For the energy above the most stable polymorph in this dataset, the calculation gives 0.024 eV/atom. The formation energy is 0.15 eV/atom. The calculation puts the total moment at 2.10 μB/f.u. Its density of states at the Fermi level is 2.9 states/eV/cell. For the calculated total energy, the calculation gives -6.08 eV/atom.

Unit cell a=4.9077 b=4.9077 c=4.9077 alpha=145.49 beta=135.80 gamma=57.25
Last column: nearest neighbours and their distance in Å.
Fractional coordinates of all 3 atoms:
Ir  0.6535  0.6535  0.0000  4 Co 2.65, 5 In 2.75-2.82, 2 Ir 2.91
Co  0.0125  0.0125  0.0000  4 Ir 2.65, 5 In 2.77-2.81, 2 Co 2.91
In  0.3340  0.3340  0.0000  5 Ir 2.75-2.82, 5 Co 2.77-2.81, 2 In 2.91